Run w
# Er8Zr PBE-GGA optimized geometry
data_Er8Zr
_chemical_formula_sum 'Er16 Zr2'
_space_group_name_H-M_alt 'I 4/m m m'
_space_group_IT_number 139
_space_group_name_Hall '-I 4 2'
_cell_length_a 10.434
_cell_length_b 10.434
_cell_length_c 4.873
_cell_angle_alpha 90.00
_cell_angle_beta 90.00
_cell_angle_gamma 90.00
loop_
_atom_site_label
_atom_site_fract_x
_atom_site_fract_y
_atom_site_fract_z
Er1 0.000 0.327 0.000
Er2 0.161 0.161 0.500
Zr1 0.000 0.000 0.000
# * magnetization: 0.00 μB per formula unit

---

Run x
# Er8Zr PBE-GGA optimized geometry
data_Er8Zr
_chemical_formula_sum 'Er16 Zr2'
_space_group_name_H-M_alt 'I 4/m m m'
_space_group_IT_number 139
_space_group_name_Hall '-I 4 2'
_cell_length_a 12.299
_cell_length_b 12.299
_cell_length_c 3.551
_cell_angle_alpha 90.00
_cell_angle_beta 90.00
_cell_angle_gamma 90.00
loop_
_atom_site_label
_atom_site_fract_x
_atom_site_fract_y
_atom_site_fract_z
Er1 0.000 0.334 0.000
Er2 0.158 0.158 0.500
Zr1 0.000 0.000 0.000
# * magnetization: 0.00 μB per formula unit

---

Which structure loses on stability? run x does.

---

Run w
# Er5Zr PBE-GGA optimized geometry
data_Er5Zr
_chemical_formula_sum 'Er10 Zr2'
_space_group_name_H-M_alt 'C m m m'
_space_group_IT_number 65
_space_group_name_Hall '-C 2 2'
_cell_length_a 4.865
_cell_length_b 14.597
_cell_length_c 4.893
_cell_angle_alpha 90.00
_cell_angle_beta 90.00
_cell_angle_gamma 90.00
loop_
_atom_site_label
_atom_site_fract_x
_atom_site_fract_y
_atom_site_fract_z
Er1 0.000 0.000 0.000
Er2 0.000 0.160 0.500
Er3 0.000 0.339 0.000
Zr1 0.000 0.500 0.500
# * magnetization: 0.00 μB per formula unit

---

Run x
# Er5Zr PBE-GGA optimized geometry
data_Er5Zr
_chemical_formula_sum 'Er10 Zr2'
_space_group_name_H-M_alt 'C 1 m 1'
_space_group_IT_number 8
_space_group_name_Hall 'C -2y'
_cell_length_a 12.672
_cell_length_b 3.445
_cell_length_c 9.337
_cell_angle_alpha 90.00
_cell_angle_beta 120.43
_cell_angle_gamma 90.00
loop_
_atom_site_label
_atom_site_fract_x
_atom_site_fract_y
_atom_site_fract_z
Er1 0.000 0.000 0.000
Er2 0.008 0.000 0.350
Er3 0.044 0.500 0.705
Er4 0.248 0.500 0.336
Er5 0.267 0.000 0.684
Zr1 0.284 0.000 0.042
# * magnetization: 0.00 μB per formula unit

---

Which structure loses on stability? run x does.

---

Run w
# EuF PBE-GGA optimized geometry
data_EuF
_chemical_formula_sum 'Eu4 F4'
_space_group_name_H-M_alt 'F m -3 m'
_space_group_IT_number 225
_space_group_name_Hall '-F 4 2 3'
_cell_length_a 5.456
_cell_length_b 5.456
_cell_length_c 5.456
_cell_angle_alpha 90.00
_cell_angle_beta 90.00
_cell_angle_gamma 90.00
loop_
_atom_site_label
_atom_site_fract_x
_atom_site_fract_y
_atom_site_fract_z
Eu1 0.000 0.000 0.000
F1 0.000 0.000 0.500
# * magnetization: 7.88 μB per formula unit

---

Run x
# EuF PBE-GGA optimized geometry
data_EuF
_chemical_formula_sum 'Eu2 F2'
_space_group_name_H-M_alt 'P 1 21/m 1'
_space_group_IT_number 11
_space_group_name_Hall '-P 2yb'
_cell_length_a 4.141
_cell_length_b 7.638
_cell_length_c 4.142
_cell_angle_alpha 90.00
_cell_angle_beta 119.94
_cell_angle_gamma 90.00
loop_
_atom_site_label
_atom_site_fract_x
_atom_site_fract_y
_atom_site_fract_z
Eu1 0.163 0.250 0.331
F1 0.497 0.250 0.997
# * magnetization: 7.43 μB per formula unit

---

Which structure loses on stability? run w does.

---

Run w
# Eu2HgF PBE-GGA optimized geometry
data_Eu2HgF
_chemical_formula_sum 'Eu6 Hg3 F3'
_space_group_name_H-M_alt 'R -3 m'
_space_group_IT_number 166
_space_group_name_Hall '-R 3 2"'
_cell_length_a 4.0540
_cell_length_b 4.0540
_cell_length_c 22.4146
_cell_angle_alpha 90.00
_cell_angle_beta 90.00
_cell_angle_gamma 120.00
loop_
_atom_site_label
_atom_site_fract_x
_atom_site_fract_y
_atom_site_fract_z
Eu1 0.0000 0.0000 0.2336
Hg1 0.0000 0.0000 0.0000
F1 0.0000 0.0000 0.5000
# * magnetization: 15.10 μB per formula unit

---

Run x
# Eu2HgF PBE-GGA optimized geometry
data_Eu2HgF
_chemical_formula_sum 'Eu2 Hg1 F1'
_space_group_name_H-M_alt 'P 4/m m m'
_space_group_IT_number 123
_space_group_name_Hall '-P 4 2'
_cell_length_a 3.577
_cell_length_b 3.577
_cell_length_c 7.937
_cell_angle_alpha 90.00
_cell_angle_beta 90.00
_cell_angle_gamma 90.00
loop_
_atom_site_label
_atom_site_fract_x
_atom_site_fract_y
_atom_site_fract_z
Eu1 0.000 0.000 0.234
Hg1 0.500 0.500 0.500
F1 0.500 0.500 0.000
# * magnetization: 14.87 μB per formula unit

---

Which structure loses on stability? run x does.

---

Run w
# KEuF2 PBE-GGA optimized geometry
data_KEuF2
_chemical_formula_sum 'K1 Eu1 F2'
_space_group_name_H-M_alt 'P 4/m m m'
_space_group_IT_number 123
_space_group_name_Hall '-P 4 2'
_cell_length_a 3.246
_cell_length_b 3.246
_cell_length_c 7.112
_cell_angle_alpha 90.00
_cell_angle_beta 90.00
_cell_angle_gamma 90.00
loop_
_atom_site_label
_atom_site_fract_x
_atom_site_fract_y
_atom_site_fract_z
K1 0.000 0.000 0.000
Eu1 0.000 0.000 0.500
F1 0.500 0.500 0.231
# * magnetization: 7.84 μB per formula unit

---

Run x
# KEuF2 PBE-GGA optimized geometry
data_KEuF2
_chemical_formula_sum 'K3 Eu3 F6'
_space_group_name_H-M_alt 'R -3 m'
_space_group_IT_number 166
_space_group_name_Hall '-R 3 2"'
_cell_length_a 4.0942
_cell_length_b 4.0942
_cell_length_c 21.8517
_cell_angle_alpha 90.00
_cell_angle_beta 90.00
_cell_angle_gamma 120.00
loop_
_atom_site_label
_atom_site_fract_x
_atom_site_fract_y
_atom_site_fract_z
K1 0.0000 0.0000 0.0000
Eu1 0.0000 0.0000 0.5000
F1 0.0000 0.0000 0.1261
# * magnetization: 7.07 μB per formula unit

---

Which structure loses on stability? run w does.

---

Run w
# Eu2MgF PBE-GGA optimized geometry
data_Eu2MgF
_chemical_formula_sum 'Eu6 Mg3 F3'
_space_group_name_H-M_alt 'R -3 m'
_space_group_IT_number 166
_space_group_name_Hall '-R 3 2"'
_cell_length_a 3.8259
_cell_length_b 3.8259
_cell_length_c 25.8289
_cell_angle_alpha 90.00
_cell_angle_beta 90.00
_cell_angle_gamma 120.00
loop_
_atom_site_label
_atom_site_fract_x
_atom_site_fract_y
_atom_site_fract_z
Eu1 0.0000 0.0000 0.2278
Mg1 0.0000 0.0000 0.0000
F1 0.0000 0.0000 0.5000
# * magnetization: 15.77 μB per formula unit

---

Run x
# Eu2MgF PBE-GGA optimized geometry
data_Eu2MgF
_chemical_formula_sum 'Eu2 Mg1 F1'
_space_group_name_H-M_alt 'P 4/m m m'
_space_group_IT_number 123
_space_group_name_Hall '-P 4 2'
_cell_length_a 3.399
_cell_length_b 3.399
_cell_length_c 8.894
_cell_angle_alpha 90.00
_cell_angle_beta 90.00
_cell_angle_gamma 90.00
loop_
_atom_site_label
_atom_site_fract_x
_atom_site_fract_y
_atom_site_fract_z
Eu1 0.000 0.000 0.208
Mg1 0.500 0.500 0.500
F1 0.500 0.500 0.000
# * magnetization: 15.32 μB per formula unit

---

Which structure loses on stability? run x does.